No. 1
A geometry-optimized LiFe2OF3 structure. Source: Alexandria via LeMat-Bulk, functional GGA+U.

Computed properties:
* total magnetization: 0.43 μB per atom
* final energy: -5.271 eV/atom
* crystal system: monoclinic
* excess energy over the best structure of this formula in the dataset: 384 meV per atom

a = 5.136 Å, b = 6.062 Å, c = 10.879 Å
α = 90.00°, β = 91.68°, γ = 90.00°
Positions (direct):
1 Li 0.000 0.000 0.000
2 Li 0.014 0.500 0.508
3 Li 0.092 0.000 0.665
4 Li 0.145 0.500 0.153
5 Fe 0.034 0.000 0.318
6 Fe 0.539 0.500 0.847
7 Fe 0.554 0.248 0.576
8 Fe 0.554 0.752 0.576
9 Fe 0.556 0.500 0.342
10 Fe 0.565 0.000 0.823
11 Fe 0.584 0.245 0.095
12 Fe 0.584 0.755 0.095
13 O 0.374 0.500 0.496
14 O 0.392 0.500 0.024
15 O 0.730 0.000 0.662
16 O 0.810 0.000 0.154
17 F 0.260 0.000 0.507
18 F 0.304 0.255 0.251
19 F 0.304 0.745 0.251
20 F 0.328 0.258 0.755
21 F 0.328 0.742 0.755
22 F 0.361 0.000 0.985
23 F 0.785 0.248 0.914
24 F 0.785 0.752 0.914
25 F 0.794 0.500 0.195
26 F 0.804 0.500 0.658
27 F 0.827 0.257 0.416
28 F 0.827 0.743 0.416

No. 2
A geometry-optimized LiFe3O2F6 structure. Source: Alexandria via LeMat-Bulk, functional GGA+U.

Computed properties:
* total magnetization: 0.75 μB per atom
* final energy: -5.355 eV/atom
* crystal system: orthorhombic
* excess energy over the best structure of this formula in the dataset: 183 meV per atom

a = 3.880 Å, b = 9.523 Å, c = 8.649 Å
α = 90.00°, β = 90.00°, γ = 90.00°
Positions (direct):
1 Li 0.000 0.040 0.000
2 Li 0.500 0.960 0.500
3 Fe 0.000 0.451 0.338
4 Fe 0.000 0.736 0.668
5 Fe 0.000 0.741 0.028
6 Fe 0.500 0.259 0.528
7 Fe 0.500 0.264 0.168
8 Fe 0.500 0.549 0.838
9 O 0.000 0.295 0.190
10 O 0.000 0.599 0.869
11 O 0.500 0.401 0.369
12 O 0.500 0.705 0.690
13 F 0.000 0.279 0.518
14 F 0.000 0.582 0.512
15 F 0.000 0.608 0.197
16 F 0.000 0.874 0.860
17 F 0.000 0.890 0.527
18 F 0.000 0.892 0.158
19 F 0.500 0.108 0.658
20 F 0.500 0.110 0.027
21 F 0.500 0.126 0.360
22 F 0.500 0.392 0.697
23 F 0.500 0.418 0.012
24 F 0.500 0.721 0.018

No. 3
A geometry-optimized LiFeOF2 structure. Source: Alexandria via LeMat-Bulk, functional GGA+U.

Computed properties:
* total magnetization: 1.00 μB per atom
* final energy: -5.569 eV/atom
* crystal system: monoclinic
* excess energy over the best structure of this formula in the dataset: 0 meV per atom

a = 6.629 Å, b = 6.629 Å, c = 5.276 Å
α = 96.31°, β = 96.31°, γ = 84.46°
Positions (direct):
1 Li 0.105 0.283 0.327
2 Li 0.283 0.105 0.827
3 Li 0.717 0.895 0.173
4 Li 0.895 0.717 0.673
5 Fe 0.242 0.758 0.250
6 Fe 0.426 0.574 0.750
7 Fe 0.574 0.426 0.250
8 Fe 0.758 0.242 0.750
9 O 0.305 0.488 0.392
10 O 0.488 0.305 0.892
11 O 0.512 0.695 0.108
12 O 0.695 0.512 0.608
13 F 0.037 0.214 0.648
14 F 0.139 0.642 0.889
15 F 0.214 0.037 0.148
16 F 0.358 0.861 0.611
17 F 0.642 0.139 0.389
18 F 0.786 0.963 0.852
19 F 0.861 0.358 0.111
20 F 0.963 0.786 0.352

No. 4
A geometry-optimized LiFe8O14F2 structure. Source: Alexandria via LeMat-Bulk, functional GGA+U.

Computed properties:
* total magnetization: 1.16 μB per atom
* final energy: -6.024 eV/atom
* crystal system: triclinic
* excess energy over the best structure of this formula in the dataset: 61 meV per atom

a = 5.500 Å, b = 7.228 Å, c = 7.269 Å
α = 80.79°, β = 71.12°, γ = 71.81°
Positions (direct):
1 Li 0.000 0.000 0.000
2 Fe 0.191 0.645 0.650
3 Fe 0.206 0.172 0.640
4 Fe 0.208 0.637 0.160
5 Fe 0.244 0.144 0.163
6 Fe 0.684 0.408 0.880
7 Fe 0.687 0.886 0.893
8 Fe 0.703 0.402 0.404
9 Fe 0.730 0.897 0.395
10 O 0.039 0.432 0.734
11 O 0.041 0.741 0.915
12 O 0.055 0.236 0.418
13 O 0.081 0.909 0.234
14 O 0.346 0.066 0.883
15 O 0.358 0.566 0.386
16 O 0.360 0.379 0.068
17 O 0.537 0.487 0.661
18 O 0.543 0.660 0.978
19 O 0.559 0.171 0.474
20 O 0.599 0.974 0.153
21 O 0.849 0.817 0.631
22 O 0.854 0.624 0.321
23 O 0.856 0.146 0.805
24 F 0.350 0.883 0.563
25 F 0.862 0.306 0.129

No. 5
A geometry-optimized Li4FeO3F structure. Source: Alexandria via LeMat-Bulk, functional GGA+U.

Computed properties:
* total magnetization: 0.56 μB per atom
* final energy: -5.286 eV/atom
* crystal system: monoclinic
* excess energy over the best structure of this formula in the dataset: 26 meV per atom

a = 5.638 Å, b = 5.638 Å, c = 6.249 Å
α = 90.39°, β = 90.39°, γ = 88.76°
Positions (direct):
1 Li 0.001 0.999 0.500
2 Li 0.189 0.509 0.719
3 Li 0.438 0.682 0.992
4 Li 0.509 0.189 0.219
5 Li 0.678 0.800 0.309
6 Li 0.682 0.438 0.492
7 Li 0.800 0.678 0.809
8 Li 0.999 0.001 0.000
9 Fe 0.143 0.527 0.254
10 Fe 0.527 0.143 0.754
11 O 0.082 0.662 0.987
12 O 0.472 0.536 0.270
13 O 0.536 0.472 0.770
14 O 0.640 0.966 0.990
15 O 0.662 0.082 0.487
16 O 0.966 0.640 0.490
17 F 0.131 0.165 0.243
18 F 0.165 0.131 0.743

No. 6
A geometry-optimized LiFe6O4F8 structure. Source: Alexandria via LeMat-Bulk, functional GGA+U.

Computed properties:
* total magnetization: 1.42 μB per atom
* final energy: -5.788 eV/atom
* crystal system: triclinic
* excess energy over the best structure of this formula in the dataset: 0 meV per atom

a = 5.790 Å, b = 5.814 Å, c = 7.867 Å
α = 68.57°, β = 68.60°, γ = 70.08°
Positions (direct):
1 Li 0.000 0.000 0.000
2 Fe 0.021 0.490 0.488
3 Fe 0.313 0.862 0.651
4 Fe 0.344 0.857 0.178
5 Fe 0.662 0.157 0.811
6 Fe 0.666 0.207 0.318
7 Fe 0.978 0.512 0.000
8 O 0.032 0.158 0.162
9 O 0.320 0.190 0.479
10 O 0.631 0.548 0.155
11 O 0.972 0.860 0.823
12 F 0.079 0.642 0.178
13 F 0.247 0.725 0.478
14 F 0.371 0.478 0.826
15 F 0.396 0.950 0.853
16 F 0.613 0.073 0.122
17 F 0.704 0.799 0.506
18 F 0.758 0.281 0.515
19 F 0.919 0.378 0.804

No. 7
A geometry-optimized Li5FeOF5 structure. Source: Alexandria via LeMat-Bulk, functional GGA+U.

Computed properties:
* total magnetization: 0.33 μB per atom
* final energy: -5.050 eV/atom
* crystal system: monoclinic

a = 5.145 Å, b = 5.145 Å, c = 9.827 Å
α = 94.70°, β = 94.70°, γ = 119.64°
Positions (direct):
1 Li 0.064 0.936 0.500
2 Li 0.166 0.315 0.771
3 Li 0.244 0.754 0.006
4 Li 0.315 0.166 0.271
5 Li 0.382 0.548 0.505
6 Li 0.548 0.382 0.005
7 Li 0.674 0.848 0.268
8 Li 0.754 0.244 0.506
9 Li 0.848 0.674 0.768
10 Li 0.936 0.064 0.000
11 Fe 0.475 0.993 0.766
12 Fe 0.993 0.475 0.266
13 O 0.028 0.207 0.382
14 O 0.207 0.028 0.882
15 F 0.106 0.609 0.631
16 F 0.295 0.454 0.131
17 F 0.369 0.883 0.386
18 F 0.454 0.295 0.631
19 F 0.546 0.691 0.886
20 F 0.609 0.106 0.131
21 F 0.691 0.546 0.386
22 F 0.765 0.952 0.638
23 F 0.883 0.369 0.886
24 F 0.952 0.765 0.138

No. 8
A geometry-optimized Li4FeO3F structure. Source: Alexandria via LeMat-Bulk, functional GGA+U.

Computed properties:
* total magnetization: 0.56 μB per atom
* final energy: -5.312 eV/atom
* crystal system: triclinic
* excess energy over the best structure of this formula in the dataset: 0 meV per atom

a = 5.462 Å, b = 5.678 Å, c = 7.052 Å
α = 71.92°, β = 70.48°, γ = 86.03°
Positions (direct):
1 Li 0.000 0.000 0.000
2 Li 0.008 0.372 0.676
3 Li 0.328 0.674 0.275
4 Li 0.357 0.652 0.739
5 Li 0.461 0.093 0.860
6 Li 0.514 0.171 0.353
7 Li 0.667 0.709 0.913
8 Li 0.692 0.755 0.393
9 Fe 0.015 0.009 0.514
10 Fe 0.083 0.418 0.127
11 O 0.190 0.343 0.380
12 O 0.198 0.327 0.877
13 O 0.281 0.743 0.001
14 O 0.329 0.837 0.471
15 O 0.823 0.037 0.784
16 O 0.868 0.077 0.288
17 F 0.726 0.586 0.184
18 F 0.750 0.620 0.657

No. 9
A geometry-optimized Li4FeO3F structure. Source: Alexandria via LeMat-Bulk, functional GGA+U.

Computed properties:
* total magnetization: 0.44 μB per atom
* final energy: -5.247 eV/atom
* crystal system: triclinic
* excess energy over the best structure of this formula in the dataset: 65 meV per atom

a = 5.482 Å, b = 5.680 Å, c = 7.008 Å
α = 74.38°, β = 71.94°, γ = 61.35°
Positions (direct):
1 Li 0.000 0.000 0.000
2 Li 0.000 0.113 0.608
3 Li 0.179 0.612 0.552
4 Li 0.279 0.547 0.138
5 Li 0.336 0.040 0.198
6 Li 0.416 0.665 0.745
7 Li 0.472 0.090 0.721
8 Li 0.696 0.143 0.350
9 Fe 0.749 0.626 0.391
10 Fe 0.828 0.590 0.962
11 O 0.000 0.783 0.321
12 O 0.013 0.797 0.803
13 O 0.442 0.807 0.967
14 O 0.443 0.929 0.491
15 O 0.593 0.382 0.552
16 O 0.987 0.380 0.194
17 F 0.043 0.312 0.769
18 F 0.599 0.229 0.088

No. 10
A geometry-optimized LiFe8O14F2 structure. Source: Alexandria via LeMat-Bulk, functional GGA+U.

Computed properties:
* total magnetization: 1.08 μB per atom
* final energy: -5.983 eV/atom
* crystal system: triclinic
* excess energy over the best structure of this formula in the dataset: 102 meV per atom

a = 5.509 Å, b = 7.189 Å, c = 7.348 Å
α = 81.81°, β = 70.39°, γ = 71.66°
Positions (direct):
1 Li 0.000 0.000 0.000
2 Fe 0.222 0.619 0.649
3 Fe 0.239 0.132 0.618
4 Fe 0.241 0.614 0.136
5 Fe 0.276 0.125 0.156
6 Fe 0.709 0.881 0.860
7 Fe 0.724 0.387 0.872
8 Fe 0.738 0.364 0.374
9 Fe 0.763 0.875 0.382
10 O 0.075 0.904 0.727
11 O 0.091 0.386 0.221
12 O 0.093 0.705 0.404
13 O 0.370 0.874 0.045
14 O 0.371 0.545 0.871
15 O 0.385 0.353 0.547
16 O 0.410 0.032 0.369
17 O 0.579 0.460 0.143
18 O 0.582 0.962 0.638
19 O 0.611 0.142 0.966
20 O 0.863 0.611 0.802
21 O 0.884 0.290 0.617
22 O 0.889 0.780 0.131
23 O 0.912 0.104 0.278
24 F 0.092 0.226 0.888
25 F 0.588 0.637 0.471

No. 11
A geometry-optimized Li6Fe2O5F2 structure. Source: Alexandria via LeMat-Bulk, functional GGA+U.

Computed properties:
* total magnetization: 0.67 μB per atom
* final energy: -5.413 eV/atom
* crystal system: triclinic

a = 5.896 Å, b = 5.899 Å, c = 9.971 Å
α = 97.76°, β = 92.85°, γ = 118.84°
Positions (direct):
1 Li 0.021 0.358 0.394
2 Li 0.164 0.085 0.111
3 Li 0.189 0.636 0.094
4 Li 0.294 0.370 0.907
5 Li 0.416 0.619 0.578
6 Li 0.426 0.090 0.607
7 Li 0.574 0.910 0.393
8 Li 0.584 0.381 0.422
9 Li 0.706 0.630 0.093
10 Li 0.811 0.364 0.906
11 Li 0.836 0.915 0.889
12 Li 0.979 0.642 0.606
13 Fe 0.044 0.876 0.380
14 Fe 0.293 0.891 0.883
15 Fe 0.707 0.109 0.117
16 Fe 0.956 0.124 0.620
17 O 0.006 0.263 0.025
18 O 0.145 0.021 0.750
19 O 0.236 0.743 0.470
20 O 0.238 0.236 0.495
21 O 0.499 0.765 0.992
22 O 0.501 0.235 0.008
23 O 0.762 0.764 0.505
24 O 0.764 0.257 0.530
25 O 0.855 0.979 0.250
26 O 0.994 0.737 0.975
27 F 0.190 0.533 0.739
28 F 0.346 0.968 0.241
29 F 0.654 0.032 0.759
30 F 0.810 0.467 0.261

No. 12
A geometry-optimized LiFe2OF3 structure. Source: Alexandria via LeMat-Bulk, functional GGA+U.

Computed properties:
* total magnetization: 1.14 μB per atom
* final energy: -5.645 eV/atom
* crystal system: orthorhombic
* excess energy over the best structure of this formula in the dataset: 10 meV per atom

a = 8.267 Å, b = 8.267 Å, c = 8.267 Å
α = 136.86°, β = 80.39°, γ = 115.93°
Positions (direct):
1 Li 0.084 0.722 0.363
2 Li 0.129 0.000 0.129
3 Li 0.359 0.722 0.637
4 Li 0.871 0.000 0.871
5 Fe 0.129 0.379 0.751
6 Fe 0.338 0.338 0.000
7 Fe 0.497 0.374 0.640
8 Fe 0.497 0.857 0.123
9 Fe 0.628 0.379 0.249
10 Fe 0.734 0.374 0.877
11 Fe 0.734 0.857 0.360
12 Fe 0.891 0.391 0.500
13 O 0.373 0.602 0.771
14 O 0.571 0.571 0.000
15 O 0.650 0.150 0.500
16 O 0.830 0.602 0.229
17 F 0.111 0.111 0.000
18 F 0.115 0.615 0.500
19 F 0.231 0.109 0.626
20 F 0.231 0.605 0.122
21 F 0.398 0.138 0.259
22 F 0.483 0.109 0.878
23 F 0.483 0.605 0.374
24 F 0.744 0.126 0.131
25 F 0.744 0.613 0.618
26 F 0.879 0.138 0.741
27 F 0.995 0.126 0.382
28 F 0.995 0.613 0.869